1.
Computed, not measured: a relaxed structure of GdGaCu at the PBE level of DFT.

Structure (extended XYZ):
```
3
Lattice="4.3870 0.0000 0.0000 -2.1935 3.7993 0.0000 0.0000 0.0000 3.6082" Properties=species:S:1:pos:R:3 pbc="T T T"
Ga 0.0000 2.5328 1.8041
Cu 0.0000 0.0000 1.8041
Gd 2.1935 1.2664 0.0000
```

Values from the calculation:
DFT total energy in eV/atom: -4.300


2.
Computed, not measured: a relaxed structure of GdGa2Cu2 at the PBE level of DFT.

Structure (extended XYZ):
```
10
Lattice="4.1122 0.0000 0.0000 0.0000 4.1122 0.0000 0.0000 0.0000 10.2262" Properties=species:S:1:pos:R:3 pbc="T T T"
Ga 0.0000 2.0561 8.8850
Ga 2.0561 2.0561 5.1131
Ga 2.0561 0.0000 1.3412
Ga 0.0000 0.0000 5.1131
Cu 0.0000 0.0000 0.0000
Cu 0.0000 2.0561 6.4910
Cu 2.0561 0.0000 3.7352
Cu 2.0561 2.0561 0.0000
Gd 2.0561 0.0000 7.6998
Gd 0.0000 2.0561 2.5264
```

Values from the calculation:
DFT total energy in eV/atom: -4.069


3.
Computed, not measured: a relaxed structure of GdGa2Cu3 at the PBE level of DFT.

Structure (extended XYZ):
```
6
Lattice="-3.4531 -1.5215 3.6999 -0.7436 -1.3963 -5.0423 2.1209 -3.3310 0.6097" Properties=species:S:1:pos:R:3 pbc="T T T"
Cu -0.6661 -2.4262 2.1548
Cu 0.6887 -2.3637 -2.2163
Cu -1.0379 -3.1244 -0.3664
Gd 0.0000 0.0000 0.0000
Ga -2.5499 -1.4797 0.7858
Ga -1.6468 -1.4380 -2.1283
```

Values from the calculation:
DFT total energy in eV/atom: -3.959


4.
Computed, not measured: a relaxed structure of TbGd2Ga3CuGe2 at the PBE level of DFT.

Structure (extended XYZ):
```
9
Lattice="-2.6408 -3.1919 -0.6066 5.2283 -3.7730 -2.9081 -1.1637 -0.3613 6.9673" Properties=species:S:1:pos:R:3 pbc="T T T"
Gd 1.9652 -2.6190 5.2261
Gd 4.5313 -3.9887 1.2616
Ga -0.1006 -2.4765 -0.9799
Ga -1.5904 -1.6814 1.3218
Ga 1.7955 -4.7652 2.8084
Cu 0.0027 -0.0027 0.0027
Ge 1.7737 -4.2293 0.0836
Ge -0.3516 -3.0950 3.3671
Tb 1.6313 -1.6592 1.6291
```

Values from the calculation:
DFT total energy in eV/atom: -4.657


5.
Computed, not measured: a relaxed structure of Tb2GdGa3CuGe2 at the PBE level of DFT.

Structure (extended XYZ):
```
9
Lattice="4.1790 0.0000 0.0000 0.0000 6.1155 3.5280 0.0000 -6.1155 3.5280" Properties=species:S:1:pos:R:3 pbc="T T T"
Ga 2.0895 0.0000 1.6444
Ga 2.0895 -4.6882 2.7066
Ga 2.0895 4.6882 2.7066
Ge 2.0895 2.0430 3.5266
Ge 2.0895 -2.0430 3.5266
Gd 0.0000 0.0000 4.2199
Cu 0.0000 0.0000 0.0039
Tb 0.0000 -3.6581 4.9449
Tb 0.0000 3.6581 4.9449
```

Values from the calculation:
DFT total energy in eV/atom: -4.653


6.
Computed, not measured: a relaxed structure of GdY2Ga3CuGe2 at the PBE level of DFT.

Structure (extended XYZ):
```
9
Lattice="-0.4296 2.2951 3.4638 0.0172 -5.8949 3.9080 6.0776 3.3168 -1.4438" Properties=species:S:1:pos:R:3 pbc="T T T"
Ga -0.1995 -3.3693 4.7266
Ga 4.4433 3.6875 0.6267
Ga 1.2088 0.5453 2.3075
Y 6.0831 0.9488 0.1259
Y 2.4577 -4.5616 3.3273
Cu 0.0044 -0.0019 0.0018
Gd 3.6460 -1.5423 1.4741
Ge 3.8447 1.4002 2.0681
Ge 1.8171 -1.6818 3.8586
```

Values from the calculation:
DFT total energy in eV/atom: -5.063


Record-wise total moment values, in μB per formula unit: 0.0 0.0 0.0 0.0 0.0 0.0